CsErMgF6: relaxed, GGA-PBE.

Structure (POSCAR):
```
CsErMgF6
1.0
8.048 0.000 0.000
0.000 7.617 0.000
-4.024 -3.809 5.440
Cs F Er Mg
2 12 2 2
Direct
0.171 0.421 0.343 Cs
0.829 0.579 0.657 Cs
0.808 0.669 0.259 F
0.544 0.294 0.089 F
0.832 0.082 0.663 F
0.192 0.331 0.741 F
0.451 0.669 0.259 F
0.808 0.090 0.259 F
0.192 0.910 0.741 F
0.456 0.706 0.911 F
0.549 0.910 0.741 F
0.168 0.918 0.337 F
0.549 0.331 0.741 F
0.451 0.090 0.259 F
0.000 0.000 0.500 Er
0.500 0.000 0.500 Er
0.500 0.000 0.000 Mg
0.500 0.500 0.000 Mg
```

Summary:
Calculated total energy in eV per cell: -102.46
Formation energy (no corrections) in eV per atom: -3.67